Entry from the Alexandria database: an optimized crystal structure of KCr3 (PBE-GGA).

Properties
energy above the most stable polymorph in this dataset: 0.1619 eV/atom
magnetic moment: 0.00 Bohr magnetons per cell
energy of formation: 0.956 eV per atom
SG: Cmmm (65)
calculated volume: 62.47 Å³/cell

a b c (Å): 2.630 2.630 9.764
angles (deg): 90.00 90.00 112.38
Fractional positions:
K (0.000, 0.000, 0.000)
Cr (0.000, 0.000, 0.500)
Cr (0.500, 0.500, 0.311)
Cr (0.500, 0.500, 0.689)



Entry from the Alexandria database: an optimized crystal structure of MoAs2P (PBE-GGA).

Properties
magnetic moment: 0.00 Bohr magnetons per cell
energy of formation: 0.129 eV per atom
SG: Pm (6)
calculated volume: 72.82 Å³/cell

a b c (Å): 3.689 4.619 4.570
angles (deg): 90.00 110.73 90.00
Fractional positions:
Mo (0.000, 0.000, 0.000)
As (0.339, 0.000, 0.590)
As (0.748, 0.500, 0.190)
P (0.090, 0.500, 0.816)



Entry from the Alexandria database: an optimized crystal structure of In2Ru2Rh (PBE-GGA).

Properties
magnetic moment: 2.61 Bohr magnetons per cell
energy of formation: 0.240 eV per atom
SG: P4/mbm (127)
calculated volume: 180.39 Å³/cell

a b c (Å): 6.633 6.633 4.100
angles (deg): 90.00 90.00 90.00
Fractional positions:
In (0.178, 0.322, 0.000)
In (0.322, 0.822, 0.000)
In (0.678, 0.178, 0.000)
In (0.822, 0.678, 0.000)
Ru (0.127, 0.627, 0.500)
Ru (0.373, 0.127, 0.500)
Ru (0.627, 0.873, 0.500)
Ru (0.873, 0.373, 0.500)
Rh (0.000, 0.000, 0.500)
Rh (0.500, 0.500, 0.500)



Entry from the Alexandria database: an optimized crystal structure of Tm2Cd2Pd5 (PBE-GGA).

Properties
magnetic moment: 0.00 Bohr magnetons per cell
energy of formation: -0.548 eV per atom
SG: Ima2 (46)
calculated volume: 359.72 Å³/cell

a b c (Å): 8.643 8.643 8.643
angles (deg): 72.19 133.88 127.78
Fractional positions:
Tm (0.026, 0.128, 0.154)
Tm (0.026, 0.372, 0.398)
Tm (0.974, 0.628, 0.602)
Tm (0.974, 0.872, 0.846)
Cd (0.583, 0.867, 0.216)
Cd (0.618, 0.118, 0.500)
Cd (0.618, 0.618, 0.000)
Cd (0.652, 0.367, 0.784)
Pd (0.119, 0.054, 0.565)
Pd (0.128, 0.261, 0.774)
Pd (0.128, 0.854, 0.366)
Pd (0.138, 0.467, 0.970)
Pd (0.138, 0.669, 0.171)
Pd (0.487, 0.354, 0.226)
Pd (0.487, 0.761, 0.634)
Pd (0.489, 0.554, 0.435)
Pd (0.498, 0.169, 0.030)
Pd (0.498, 0.967, 0.829)



Q: energy of formation of number 1 (KCr3)?
A: 0.956 eV per atom



Q: Among the records above, which one has the lowest calculated volume?
A: KCr3